A plane-wave DFT calculation with SCAN was carried out for KBa3Rh at its PBEsol-relaxed geometry.

abc: 6.1569 6.1569 6.1569
angles: 90.00 90.00 90.00
Space group Pm-3m (No. 221)
Asymmetric unit:
K1 0.0000 0.0000 0.0000 (multiplicity 1)
Ba1 0.0000 0.5000 0.5000 (multiplicity 3)
Rh1 0.5000 0.5000 0.5000 (multiplicity 1)

D(E_F) = 5.0 states/eV per cell
E = -32.23 eV/atom
Crystal system = cubic
ΔH_f (0 K) = -79.7 meV/atom

---

A plane-wave DFT calculation with SCAN was carried out for K2BaRh at its PBEsol-relaxed geometry.

abc: 8.1332 4.6460 10.1883
angles: 90.00 104.69 90.00
Space group Cm (No. 8)
Asymmetric unit:
K1 0.0000 0.0000 0.0000 (multiplicity 2)
K2 0.2071 0.0000 0.6259 (multiplicity 2)
Ba1 0.2791 0.5000 0.3306 (multiplicity 2)
Rh1 0.4754 0.0000 0.4185 (multiplicity 2)

D(E_F) = 4.1 states/eV per cell
E = -22.27 eV/atom
Crystal system = monoclinic
ΔH_f (0 K) = 225.1 meV/atom

---

A plane-wave DFT calculation with SCAN was carried out for K3BaRh at its PBEsol-relaxed geometry.

abc: 6.1199 6.1199 6.1199
angles: 90.00 90.00 90.00
Space group Pm-3m (No. 221)
Asymmetric unit:
K1 0.0000 0.0000 0.5000 (multiplicity 3)
Ba1 0.5000 0.5000 0.5000 (multiplicity 1)
Rh1 0.0000 0.0000 0.0000 (multiplicity 1)

D(E_F) = 5.2 states/eV per cell
E = -19.06 eV/atom
Crystal system = cubic
ΔH_f (0 K) = 604.6 meV/atom

---

A plane-wave DFT calculation with SCAN was carried out for KBaRh at its PBEsol-relaxed geometry.

abc: 3.7495 3.7495 15.3766
angles: 90.00 90.00 90.00
Space group I4mm (No. 107)
Asymmetric unit:
K1 0.0000 0.0000 0.0000 (multiplicity 2)
Ba1 0.0000 0.0000 0.7659 (multiplicity 2)
Rh1 0.0000 0.0000 0.3617 (multiplicity 2)

D(E_F) = 4.4 states/eV per cell
E = -26.95 eV/atom
Crystal system = tetragonal
ΔH_f (0 K) = 266.9 meV/atom

---

A plane-wave DFT calculation with SCAN was carried out for K2BaRu at its PBEsol-relaxed geometry.

abc: 4.7263 4.7263 6.1334
angles: 90.00 90.00 90.00
Space group P4/mmm (No. 123)
Asymmetric unit:
K1 0.0000 0.5000 0.0000 (multiplicity 2)
Ba1 0.0000 0.0000 0.5000 (multiplicity 1)
Ru1 0.5000 0.5000 0.5000 (multiplicity 1)

Energy relative to the lowest polymorph listed for this composition = 110 meV/atom
D(E_F) = 1.8 states/eV per cell
E = -21.91 eV/atom
Crystal system = tetragonal
ΔH_f (0 K) = 844.4 meV/atom

---

A plane-wave DFT calculation with SCAN was carried out for K2BaRu at its PBEsol-relaxed geometry.

abc: 3.8221 3.8200 10.9754
angles: 90.00 90.08 90.00
Space group Pm (No. 6)
Asymmetric unit:
K1 0.0000 0.0000 0.0000 (multiplicity 1)
K2 0.4967 0.5000 0.3569 (multiplicity 1)
Ba1 0.9978 0.0000 0.6764 (multiplicity 1)
Ru1 0.4986 0.5000 0.7931 (multiplicity 1)

Energy relative to the lowest polymorph listed for this composition = 0 meV/atom
D(E_F) = 4.2 states/eV per cell
E = -22.02 eV/atom
Crystal system = monoclinic
ΔH_f (0 K) = 734.6 meV/atom